#P
# Li2Ni2Au | the Alexandria database | PBE | relaxed
# theoretical density = 8.4 Mg/m³
data_Li2Ni2Au
_chemical_formula_sum 'Li4 Ni4 Au2'
_cell_length_a 6.789
_cell_length_b 6.789
_cell_length_c 2.803
_cell_angle_alpha 90.00
_cell_angle_beta 90.00
_cell_angle_gamma 90.00
_space_group_name_H-M_alt 'P 4/m b m'
_space_group_IT_number 127
_space_group_name_Hall '-P 4 2ab'
loop_
_atom_site_label
_atom_site_fract_x
_atom_site_fract_y
_atom_site_fract_z
Li1 0.177 0.323 0.000
Ni1 0.120 0.620 0.500
Au1 0.000 0.000 0.500

#Q
# Li2Ni2Au | the Alexandria database | PBE | relaxed
# theoretical density = 8.8 Mg/m³
data_Li2Ni2Au
_chemical_formula_sum 'Li4 Ni4 Au2'
_cell_length_a 6.718
_cell_length_b 6.718
_cell_length_c 2.738
_cell_angle_alpha 90.00
_cell_angle_beta 90.00
_cell_angle_gamma 90.00
_space_group_name_H-M_alt 'P 4/m b m'
_space_group_IT_number 127
_space_group_name_Hall '-P 4 2ab'
loop_
_atom_site_label
_atom_site_fract_x
_atom_site_fract_y
_atom_site_fract_z
Li1 0.125 0.375 0.000
Ni1 0.175 0.675 0.500
Au1 0.000 0.000 0.000

Which structure is the most stable? The one labeled #P.

#P
# Li5AuO4 | the Alexandria database | PBE | relaxed
# theoretical density = 4.6 Mg/m³
data_Li5AuO4
_chemical_formula_sum 'Li10 Au2 O8'
_cell_length_a 4.779
_cell_length_b 9.599
_cell_length_c 4.771
_cell_angle_alpha 90.00
_cell_angle_beta 102.81
_cell_angle_gamma 90.00
_space_group_name_H-M_alt 'C 1 2/m 1'
_space_group_IT_number 12
_space_group_name_Hall '-C 2y'
loop_
_atom_site_label
_atom_site_fract_x
_atom_site_fract_y
_atom_site_fract_z
Li1 0.000 0.000 0.000
Li2 0.000 0.209 0.500
Li3 0.000 0.282 0.000
Au1 0.000 0.500 0.500
O1 0.245 0.353 0.750

#Q
# Li5AuO4 | the Alexandria database | PBE | relaxed
# theoretical density = 4.9 Mg/m³
data_Li5AuO4
_chemical_formula_sum 'Li5 Au1 O4'
_cell_length_a 3.591
_cell_length_b 5.488
_cell_length_c 5.645
_cell_angle_alpha 80.34
_cell_angle_beta 71.72
_cell_angle_gamma 70.91
_space_group_name_H-M_alt 'P -1'
_space_group_IT_number 2
_space_group_name_Hall '-P 1'
loop_
_atom_site_label
_atom_site_fract_x
_atom_site_fract_y
_atom_site_fract_z
Li1 0.000 0.000 0.000
Li2 0.183 0.028 0.608
Li3 0.316 0.342 0.026
Au1 0.500 0.500 0.500
O1 0.243 0.688 0.825
O2 0.427 0.853 0.292

#R
# Li5AuO4 | the Alexandria database | PBE | relaxed
# theoretical density = 4.7 Mg/m³
data_Li5AuO4
_chemical_formula_sum 'Li20 Au4 O16'
_cell_length_a 5.100
_cell_length_b 5.438
_cell_length_c 15.157
_cell_angle_alpha 90.00
_cell_angle_beta 95.45
_cell_angle_gamma 90.00
_space_group_name_H-M_alt 'C 1 2/c 1'
_space_group_IT_number 15
_space_group_name_Hall '-C 2yc'
loop_
_atom_site_label
_atom_site_fract_x
_atom_site_fract_y
_atom_site_fract_z
Li1 0.000 0.248 0.250
Li2 0.061 0.018 0.915
Li3 0.061 0.485 0.914
Au1 0.000 0.252 0.750
O1 0.155 0.249 0.036
O2 0.228 0.251 0.645

Which structure is the most stable? The one labeled #P.

#P
# Li2OsAu | the Alexandria database | PBE | relaxed
# theoretical density = 10.7 Mg/m³
data_Li2OsAu
_chemical_formula_sum 'Li8 Os4 Au4'
_cell_length_a 6.886
_cell_length_b 6.886
_cell_length_c 5.250
_cell_angle_alpha 90.00
_cell_angle_beta 90.00
_cell_angle_gamma 90.00
_space_group_name_H-M_alt 'I -4 2 d'
_space_group_IT_number 122
_space_group_name_Hall 'I -4 2bw'
loop_
_atom_site_label
_atom_site_fract_x
_atom_site_fract_y
_atom_site_fract_z
Li1 0.242 0.250 0.125
Os1 0.000 0.000 0.500
Au1 0.000 0.000 0.000

#Q
# Li2OsAu | the Alexandria database | PBE | relaxed
# theoretical density = 10.5 Mg/m³
data_Li2OsAu
_chemical_formula_sum 'Li4 Os2 Au2'
_cell_length_a 3.295
_cell_length_b 4.166
_cell_length_c 9.257
_cell_angle_alpha 90.00
_cell_angle_beta 90.00
_cell_angle_gamma 90.00
_space_group_name_H-M_alt 'C m m 2'
_space_group_IT_number 35
_space_group_name_Hall 'C 2 -2'
loop_
_atom_site_label
_atom_site_fract_x
_atom_site_fract_y
_atom_site_fract_z
Li1 0.000 0.000 0.000
Li2 0.000 0.500 0.293
Os1 0.000 0.500 0.777
Au1 0.000 0.000 0.514

#R
# Li2OsAu | the Alexandria database | PBE | relaxed
# theoretical density = 11.4 Mg/m³
data_Li2OsAu
_chemical_formula_sum 'Li4 Os2 Au2'
_cell_length_a 10.317
_cell_length_b 2.592
_cell_length_c 4.940
_cell_angle_alpha 90.00
_cell_angle_beta 118.07
_cell_angle_gamma 90.00
_space_group_name_H-M_alt 'C 1 m 1'
_space_group_IT_number 8
_space_group_name_Hall 'C -2y'
loop_
_atom_site_label
_atom_site_fract_x
_atom_site_fract_y
_atom_site_fract_z
Li1 0.000 0.000 0.000
Li2 0.237 0.000 0.537
Os1 0.248 0.500 0.042
Au1 0.491 0.000 0.499

Which structure is the most stable? The one labeled #R.

#P
# Li2OsAu | the Alexandria database | PBE | relaxed
# theoretical density = 11.7 Mg/m³
data_Li2OsAu
_chemical_formula_sum 'Li4 Os2 Au2'
_cell_length_a 3.769
_cell_length_b 3.769
_cell_length_c 8.014
_cell_angle_alpha 90.00
_cell_angle_beta 90.00
_cell_angle_gamma 90.00
_space_group_name_H-M_alt 'I -4 m 2'
_space_group_IT_number 119
_space_group_name_Hall 'I -4 -2'
loop_
_atom_site_label
_atom_site_fract_x
_atom_site_fract_y
_atom_site_fract_z
Li1 0.000 0.000 0.000
Li2 0.000 0.500 0.250
Os1 0.000 0.500 0.750
Au1 0.000 0.000 0.500

#Q
# Li2OsAu | the Alexandria database | PBE | relaxed
# theoretical density = 11.4 Mg/m³
data_Li2OsAu
_chemical_formula_sum 'Li4 Os2 Au2'
_cell_length_a 5.531
_cell_length_b 8.255
_cell_length_c 2.567
_cell_angle_alpha 90.00
_cell_angle_beta 90.00
_cell_angle_gamma 90.00
_space_group_name_H-M_alt 'C m m m'
_space_group_IT_number 65
_space_group_name_Hall '-C 2 2'
loop_
_atom_site_label
_atom_site_fract_x
_atom_site_fract_y
_atom_site_fract_z
Li1 0.250 0.250 0.000
Os1 0.000 0.000 0.500
Au1 0.000 0.500 0.500

#R
# Li2OsAu | the Alexandria database | PBE | relaxed
# theoretical density = 11.4 Mg/m³
data_Li2OsAu
_chemical_formula_sum 'Li4 Os2 Au2'
_cell_length_a 9.052
_cell_length_b 2.619
_cell_length_c 4.979
_cell_angle_alpha 90.00
_cell_angle_beta 97.82
_cell_angle_gamma 90.00
_space_group_name_H-M_alt 'C 1 2/m 1'
_space_group_IT_number 12
_space_group_name_Hall '-C 2y'
loop_
_atom_site_label
_atom_site_fract_x
_atom_site_fract_y
_atom_site_fract_z
Li1 0.249 0.000 0.270
Os1 0.000 0.000 0.500
Au1 0.000 0.500 0.000

Which structure is the most stable? The one labeled #R.

#P
# Li2OsAu | the Alexandria database | PBE | relaxed
# theoretical density = 11.4 Mg/m³
data_Li2OsAu
_chemical_formula_sum 'Li2 Os1 Au1'
_cell_length_a 2.641
_cell_length_b 2.641
_cell_length_c 8.372
_cell_angle_alpha 90.00
_cell_angle_beta 90.00
_cell_angle_gamma 90.00
_space_group_name_H-M_alt 'P 4/m m m'
_space_group_IT_number 123
_space_group_name_Hall '-P 4 2'
loop_
_atom_site_label
_atom_site_fract_x
_atom_site_fract_y
_atom_site_fract_z
Li1 0.000 0.000 0.247
Os1 0.500 0.500 0.000
Au1 0.500 0.500 0.500

#Q
# Li2OsAu | the Alexandria database | PBE | relaxed
# theoretical density = 11.4 Mg/m³
data_Li2OsAu
_chemical_formula_sum 'Li2 Os1 Au1'
_cell_length_a 2.619
_cell_length_b 4.466
_cell_length_c 5.010
_cell_angle_alpha 90.00
_cell_angle_beta 92.19
_cell_angle_gamma 90.00
_space_group_name_H-M_alt 'P 1 2/m 1'
_space_group_IT_number 10
_space_group_name_Hall '-P 2y'
loop_
_atom_site_label
_atom_site_fract_x
_atom_site_fract_y
_atom_site_fract_z
Li1 0.189 0.000 0.228
Os1 0.500 0.500 0.000
Au1 0.000 0.500 0.500

Which structure is the most stable? The one labeled #P.

#P
# Li2OsAu | the Alexandria database | PBE | relaxed
# theoretical density = 12.5 Mg/m³
data_Li2OsAu
_chemical_formula_sum 'Li8 Os4 Au4'
_cell_length_a 5.966
_cell_length_b 5.966
_cell_length_c 5.966
_cell_angle_alpha 90.00
_cell_angle_beta 90.00
_cell_angle_gamma 90.00
_space_group_name_H-M_alt 'F m -3 m'
_space_group_IT_number 225
_space_group_name_Hall '-F 4 2 3'
loop_
_atom_site_label
_atom_site_fract_x
_atom_site_fract_y
_atom_site_fract_z
Li1 0.250 0.250 0.250
Os1 0.000 0.000 0.000
Au1 0.000 0.000 0.500

#Q
# Li2OsAu | the Alexandria database | PBE | relaxed
# theoretical density = 11.3 Mg/m³
data_Li2OsAu
_chemical_formula_sum 'Li4 Os2 Au2'
_cell_length_a 3.051
_cell_length_b 4.345
_cell_length_c 8.864
_cell_angle_alpha 90.00
_cell_angle_beta 90.00
_cell_angle_gamma 90.00
_space_group_name_H-M_alt 'C m m m'
_space_group_IT_number 65
_space_group_name_Hall '-C 2 2'
loop_
_atom_site_label
_atom_site_fract_x
_atom_site_fract_y
_atom_site_fract_z
Li1 0.000 0.000 0.242
Os1 0.000 0.500 0.000
Au1 0.000 0.500 0.500

Which structure is the most stable? The one labeled #Q.

#P
# Li2OsAu | the Alexandria database | PBE | relaxed
# theoretical density = 10.7 Mg/m³
data_Li2OsAu
_chemical_formula_sum 'Li6 Os3 Au3'
_cell_length_a 2.7389
_cell_length_b 2.7389
_cell_length_c 28.8622
_cell_angle_alpha 90.00
_cell_angle_beta 90.00
_cell_angle_gamma 120.00
_space_group_name_H-M_alt 'R 3 m'
_space_group_IT_number 160
_space_group_name_Hall 'R 3 -2"'
loop_
_atom_site_label
_atom_site_fract_x
_atom_site_fract_y
_atom_site_fract_z
Li1 0.0000 0.0000 0.0000
Li2 0.0000 0.0000 0.2406
Os1 0.0000 0.0000 0.4981
Au1 0.0000 0.0000 0.7432

#Q
# Li2OsAu | the Alexandria database | PBE | relaxed
# theoretical density = 11.3 Mg/m³
data_Li2OsAu
_chemical_formula_sum 'Li6 Os3 Au3'
_cell_length_a 2.7313
_cell_length_b 2.7313
_cell_length_c 27.2911
_cell_angle_alpha 90.00
_cell_angle_beta 90.00
_cell_angle_gamma 120.00
_space_group_name_H-M_alt 'R -3 m'
_space_group_IT_number 166
_space_group_name_Hall '-R 3 2"'
loop_
_atom_site_label
_atom_site_fract_x
_atom_site_fract_y
_atom_site_fract_z
Li1 0.0000 0.0000 0.2473
Os1 0.0000 0.0000 0.5000
Au1 0.0000 0.0000 0.0000

#R
# Li2OsAu | the Alexandria database | PBE | relaxed
# theoretical density = 11.1 Mg/m³
data_Li2OsAu
_chemical_formula_sum 'Li2 Os1 Au1'
_cell_length_a 2.609
_cell_length_b 4.409
_cell_length_c 5.239
_cell_angle_alpha 90.00
_cell_angle_beta 90.00
_cell_angle_gamma 90.00
_space_group_name_H-M_alt 'P m m 2'
_space_group_IT_number 25
_space_group_name_Hall 'P 2 -2'
loop_
_atom_site_label
_atom_site_fract_x
_atom_site_fract_y
_atom_site_fract_z
Li1 0.000 0.000 0.000
Li2 0.500 0.500 0.240
Os1 0.000 0.000 0.503
Au1 0.500 0.500 0.728

#S
# Li2OsAu | the Alexandria database | PBE | relaxed
# theoretical density = 12.3 Mg/m³
data_Li2OsAu
_chemical_formula_sum 'Li2 Os1 Au1'
_cell_length_a 4.489
_cell_length_b 4.489
_cell_length_c 2.690
_cell_angle_alpha 90.00
_cell_angle_beta 90.00
_cell_angle_gamma 90.00
_space_group_name_H-M_alt 'P 4/m m m'
_space_group_IT_number 123
_space_group_name_Hall '-P 4 2'
loop_
_atom_site_label
_atom_site_fract_x
_atom_site_fract_y
_atom_site_fract_z
Li1 0.000 0.500 0.000
Os1 0.000 0.000 0.500
Au1 0.500 0.500 0.500

Which structure is the most stable? The one labeled #Q.

#P
# LiOsAu2 | the Alexandria database | PBE | relaxed
# theoretical density = 15.3 Mg/m³
data_LiOsAu2
_chemical_formula_sum 'Li2 Os2 Au4'
_cell_length_a 9.236
_cell_length_b 2.675
_cell_length_c 5.243
_cell_angle_alpha 90.00
_cell_angle_beta 96.67
_cell_angle_gamma 90.00
_space_group_name_H-M_alt 'C 1 2/m 1'
_space_group_IT_number 12
_space_group_name_Hall '-C 2y'
loop_
_atom_site_label
_atom_site_fract_x
_atom_site_fract_y
_atom_site_fract_z
Li1 0.000 0.000 0.000
Os1 0.000 0.500 0.500
Au1 0.244 0.000 0.751

#Q
# LiOsAu2 | the Alexandria database | PBE | relaxed
# theoretical density = 15.4 Mg/m³
data_LiOsAu2
_chemical_formula_sum 'Li2 Os2 Au4'
_cell_length_a 3.938
_cell_length_b 3.938
_cell_length_c 8.202
_cell_angle_alpha 90.00
_cell_angle_beta 90.00
_cell_angle_gamma 90.00
_space_group_name_H-M_alt 'I -4 m 2'
_space_group_IT_number 119
_space_group_name_Hall 'I -4 -2'
loop_
_atom_site_label
_atom_site_fract_x
_atom_site_fract_y
_atom_site_fract_z
Li1 0.000 0.000 0.000
Os1 0.000 0.500 0.750
Au1 0.000 0.000 0.500
Au2 0.000 0.500 0.250

Which structure is the most stable? The one labeled #P.

#P
# LiOsAu2 | the Alexandria database | PBE | relaxed
# theoretical density = 15.4 Mg/m³
data_LiOsAu2
_chemical_formula_sum 'Li1 Os1 Au2'
_cell_length_a 2.691
_cell_length_b 4.096
_cell_length_c 5.776
_cell_angle_alpha 90.00
_cell_angle_beta 90.00
_cell_angle_gamma 90.00
_space_group_name_H-M_alt 'P m m m'
_space_group_IT_number 47
_space_group_name_Hall '-P 2 2'
loop_
_atom_site_label
_atom_site_fract_x
_atom_site_fract_y
_atom_site_fract_z
Li1 0.000 0.000 0.000
Os1 0.000 0.000 0.500
Au1 0.500 0.500 0.250

#Q
# LiOsAu2 | the Alexandria database | PBE | relaxed
# theoretical density = 15.5 Mg/m³
data_LiOsAu2
_chemical_formula_sum 'Li2 Os2 Au4'
_cell_length_a 6.100
_cell_length_b 7.674
_cell_length_c 2.707
_cell_angle_alpha 90.00
_cell_angle_beta 90.00
_cell_angle_gamma 90.00
_space_group_name_H-M_alt 'C m m m'
_space_group_IT_number 65
_space_group_name_Hall '-C 2 2'
loop_
_atom_site_label
_atom_site_fract_x
_atom_site_fract_y
_atom_site_fract_z
Li1 0.000 0.000 0.000
Os1 0.000 0.500 0.000
Au1 0.250 0.250 0.500

Which structure is the most stable? The one labeled #Q.

#P
# LiOsAu2 | the Alexandria database | PBE | relaxed
# theoretical density = 15.6 Mg/m³
data_LiOsAu2
_chemical_formula_sum 'Li2 Os2 Au4'
_cell_length_a 4.158
_cell_length_b 4.158
_cell_length_c 7.296
_cell_angle_alpha 90.00
_cell_angle_beta 90.00
_cell_angle_gamma 90.00
_space_group_name_H-M_alt 'I 4/m m m'
_space_group_IT_number 139
_space_group_name_Hall '-I 4 2'
loop_
_atom_site_label
_atom_site_fract_x
_atom_site_fract_y
_atom_site_fract_z
Li1 0.000 0.000 0.000
Os1 0.000 0.000 0.500
Au1 0.000 0.500 0.250

#Q
# LiOsAu2 | the Alexandria database | PBE | relaxed
# theoretical density = 15.2 Mg/m³
data_LiOsAu2
_chemical_formula_sum 'Li2 Os2 Au4'
_cell_length_a 2.815
_cell_length_b 4.701
_cell_length_c 9.750
_cell_angle_alpha 90.00
_cell_angle_beta 90.00
_cell_angle_gamma 90.00
_space_group_name_H-M_alt 'C m m 2'
_space_group_IT_number 35
_space_group_name_Hall 'C 2 -2'
loop_
_atom_site_label
_atom_site_fract_x
_atom_site_fract_y
_atom_site_fract_z
Li1 0.000 0.000 0.000
Os1 0.000 0.500 0.772
Au1 0.000 0.000 0.513
Au2 0.000 0.500 0.235

#R
# LiOsAu2 | the Alexandria database | PBE | relaxed
# theoretical density = 15.3 Mg/m³
data_LiOsAu2
_chemical_formula_sum 'Li4 Os4 Au8'
_cell_length_a 6.361
_cell_length_b 6.361
_cell_length_c 6.361
_cell_angle_alpha 90.00
_cell_angle_beta 90.00
_cell_angle_gamma 90.00
_space_group_name_H-M_alt 'F m -3 m'
_space_group_IT_number 225
_space_group_name_Hall '-F 4 2 3'
loop_
_atom_site_label
_atom_site_fract_x
_atom_site_fract_y
_atom_site_fract_z
Li1 0.000 0.000 0.000
Os1 0.000 0.000 0.500
Au1 0.250 0.250 0.250

#S
# LiOsAu2 | the Alexandria database | PBE | relaxed
# theoretical density = 15.3 Mg/m³
data_LiOsAu2
_chemical_formula_sum 'Li2 Os2 Au4'
_cell_length_a 2.789
_cell_length_b 4.780
_cell_length_c 9.627
_cell_angle_alpha 90.00
_cell_angle_beta 90.00
_cell_angle_gamma 90.00
_space_group_name_H-M_alt 'C m m m'
_space_group_IT_number 65
_space_group_name_Hall '-C 2 2'
loop_
_atom_site_label
_atom_site_fract_x
_atom_site_fract_y
_atom_site_fract_z
Li1 0.000 0.000 0.000
Os1 0.000 0.000 0.500
Au1 0.000 0.500 0.234

Which structure is the most stable? The one labeled #Q.